The following is a DFT calculation (PBE) of a relaxed structure of HfTh2Zn.

abc: 3.2799 3.2799 34.3973
angles: 90.00 90.00 120.00
Space group R-3m (No. 166, hexagonal axes)
One atom of each set of equivalent atoms:
Hf  0.0000  0.0000  0.0000 x3
Th  0.0000  0.0000  0.0909 x6
Zn  0.0000  0.0000  0.5000 x3

Output
The value obtained for the offset from the most stable computed form is 1.26 eV per formula unit. The formation energy is 357 meV per atom. The total magnetization comes out at 0.00 Bohr magnetons per cell.

---

The following is a DFT calculation (PBE) of a relaxed structure of Hf2ThZn6.

abc: 7.7028 7.7028 3.2335
angles: 90.00 90.00 120.00
Space group P6/mmm (No. 191)
One atom of each set of equivalent atoms:
Hf  0.3333  0.6667  0.0000 x2
Th  0.0000  0.0000  0.0000 x1
Zn  0.0000  0.3427  0.5000 x6

Output
The formation energy is -180 meV per atom. The total magnetization comes out at 0.00 Bohr magnetons per cell.

---

The following is a DFT calculation (PBE) of a relaxed structure of HfTh2Zn6.

abc: 7.8709 7.8709 3.3581
angles: 90.00 90.00 120.00
Space group P6/mmm (No. 191)
One atom of each set of equivalent atoms:
Hf  0.0000  0.0000  0.0000 x1
Th  0.3333  0.6667  0.0000 x2
Zn  0.0000  0.3197  0.5000 x6

Output
The formation energy is -210 meV per atom. The total magnetization comes out at 0.00 Bohr magnetons per cell.

---

The following is a DFT calculation (PBE) of a relaxed structure of HfTh2Zn.

abc: 5.4495 5.4495 3.5262
angles: 90.00 90.00 90.00
Space group P4/mmm (No. 123)
One atom of each set of equivalent atoms:
Hf  0.0000  0.0000  0.0000 x1
Th  0.0000  0.5000  0.5000 x2
Zn  0.5000  0.5000  0.0000 x1

Output
The value obtained for the offset from the most stable computed form is 0.03 eV per formula unit. The formation energy is 50 meV per atom. The total magnetization comes out at 0.00 Bohr magnetons per cell.

---

The following is a DFT calculation (PBE) of a relaxed structure of HfThZn4.

abc: 7.6406 7.6406 7.6406
angles: 90.00 90.00 90.00
Space group F-43m (No. 216)
One atom of each set of equivalent atoms:
Hf  0.0000  0.0000  0.0000 x4
Th  0.2500  0.2500  0.2500 x4
Zn  0.1266  0.1266  0.6266 x16

Output
The value obtained for the offset from the most stable computed form is 0.13 eV per formula unit. The formation energy is -179 meV per atom. The total magnetization comes out at 0.00 Bohr magnetons per cell.

---

The following is a DFT calculation (PBE) of a relaxed structure of Hf2ThZn9.

abc: 5.3210 5.3210 25.1128
angles: 90.00 90.00 120.00
Space group R-3m (No. 166, hexagonal axes)
One atom of each set of equivalent atoms:
Hf  0.0000  0.0000  0.1436 x6
Th  0.0000  0.0000  0.0000 x3
Zn  0.0000  0.0000  0.3357 x6
Zn  0.0000  0.0000  0.5000 x3
Zn  0.0090  0.5045  0.9133 x18

Output
The formation energy is -235 meV per atom. The total magnetization comes out at 2.99 Bohr magnetons per cell.

---

Which of these has the highest total magnetization?
Hf2ThZn9